SmTmSi4Os2, relaxed, DFT PBE; calculated total energy = -7.3896 eV per atom; space group = Pm, No. 6; total magnetic moment = 0.0 μB/f.u.; mass density = 9313 kg/m3
1.0
4.433 0.000 0.000
0.000 4.098 0.000
-1.674 0.000 7.971
Sm Tm Si Os
1 1 4 2
Cartesian
0.000 0.000 0.000
2.644 2.049 4.740
-0.135 2.049 2.372
0.488 0.000 5.671
0.514 2.049 7.099
2.829 0.000 2.461
0.644 0.000 3.334
2.054 2.049 1.492



SmYSi2Os2, relaxed, DFT PBE; calculated total energy = -8.0728 eV per atom; space group = P4mm, No. 99; total magnetic moment = 0.0 μB/f.u.; mass density = 9438 kg/m3
1.0
4.186 0.000 0.000
0.000 4.186 0.000
0.000 0.000 6.787
Sm Y Si Os
1 1 2 2
Cartesian
0.000 0.000 0.000
2.093 2.093 2.389
0.000 0.000 3.282
2.093 2.093 5.830
0.000 2.093 4.555
2.093 0.000 4.555